Sm3SiTe (PBE-GGA, optimized geometry); SG = C2/c, No. 15; calculated volume = 32.828 Å³ per atom; electronic total energy = -0.3900 Ry/atom; magnetic moment = 0.037 μB/atom; formation energy from raw total energies = -0.762 eV/atom
1.0
7.5569 -6.0895 0.0000
7.5569 6.0895 0.0000
-1.5108 0.0000 7.1338
Sm Si Te
12 4 4
Cartesian
0.8169 0.7975 3.1566
5.9629 3.1469 0.2679
0.0615 -0.7975 6.7236
5.1155 0.9768 3.8588
8.3956 3.1469 3.2990
5.8709 -0.9768 0.2919
7.7322 0.9768 6.8420
5.2075 -3.1469 3.8348
8.4876 -0.9768 3.2750
13.5415 0.7975 0.4103
7.6402 -3.1469 6.8659
12.7861 -0.7975 3.9772
6.4238 3.1040 5.3504
7.1792 1.0828 1.7835
6.4238 -1.0828 5.3504
7.1792 -3.1040 1.7835
2.5339 1.1925 5.7805
3.2892 -1.1925 2.2135
10.3138 1.1925 4.9203
11.0692 -1.1925 1.3534

CsMnNiBr6 (PBE-GGA, optimized geometry); SG = P312, No. 149; calculated volume = 35.387 Å³ per atom; electronic total energy = -0.2689 Ry/atom; magnetic moment = 0.666 μB/atom; formation energy from raw total energies = -0.787 eV/atom
1.0
6.6842 0.0000 0.0000
-3.3421 5.7887 0.0000
0.0000 0.0000 8.2305
Cs Mn Ni Br
1 1 1 6
Cartesian
0.0000 0.0000 0.0000
3.3421 1.9296 4.1153
0.0000 3.8591 4.1153
-1.2413 2.1931 5.5818
-2.0635 3.6171 2.6487
1.2413 2.1931 2.6487
-0.8222 5.7672 5.5818
2.0635 3.6171 5.5818
0.8222 5.7672 2.6487

PmSn3Ir2 (PBE-GGA, optimized geometry); SG = P-3m1, No. 164; relative energy among the computed polymorphs = 181 meV/atom; calculated volume = 24.440 Å³ per atom; electronic total energy = -0.4400 Ry/atom; magnetic moment = 0.000 μB/atom; energy of formation = -1.44 eV/f.u.
1.0
7.6597 0.0000 0.0000
-3.8299 6.6335 0.0000
0.0000 0.0000 5.7721
Pm Sn Ir
2 6 4
Cartesian
0.0000 4.4223 1.7448
3.8299 2.2112 4.0274
0.0000 2.1591 4.2385
-1.9601 5.5540 4.2385
1.8698 1.0795 1.5336
1.9600 5.5540 4.2385
5.7899 1.0795 1.5336
3.8299 4.4744 1.5336
0.0000 0.0000 0.0000
-1.9149 3.3167 0.0000
3.8299 0.0000 0.0000
1.9149 3.3167 0.0000

LiGe3Se4 (PBE-GGA, optimized geometry); SG = Imm2, No. 44; relative energy among the computed polymorphs = 0 meV/atom; calculated volume = 21.881 Å³ per atom; electronic total energy = -0.3031 Ry/atom; magnetic moment = 0.000 μB/atom; formation energy from raw total energies = -0.411 eV/atom
1.0
-2.7171 5.5805 2.8860
2.7171 -5.5805 2.8860
2.7171 5.5805 -2.8860
Li Ge Se
1 3 4
Cartesian
0.0000 0.0000 0.0000
2.7171 2.7764 0.0998
0.0000 5.5805 0.1785
0.0000 2.8042 2.9858
2.7171 -2.7559 2.6944
0.0000 0.0000 2.7383
2.7171 2.7559 2.6944
0.0000 5.5805 2.7103

LiPCl2 (PBE-GGA, optimized geometry); SG = C2/m, No. 12; relative energy among the computed polymorphs = 215 meV/atom; calculated volume = 21.503 Å³ per atom; electronic total energy = -0.2351 Ry/atom; magnetic moment = 0.000 μB/atom; formation energy from raw total energies = -0.444 eV/atom
1.0
3.5790 -3.5793 0.0000
3.5790 3.5793 0.0000
-0.0322 0.0000 3.3571
Li P Cl
1 1 2
Cartesian
0.0000 0.0000 0.0000
3.5790 0.0000 0.0000
1.7895 1.7897 0.0000
1.7895 -1.7897 0.0000

RePOs2 (PBE-GGA, optimized geometry); SG = P4/mmm, No. 123; calculated volume = 14.128 Å³ per atom; electronic total energy = -0.6912 Ry/atom; magnetic moment = 0.000 μB/atom; energy of formation = 2.70 eV/f.u.
1.0
3.8876 0.0000 0.0000
0.0000 3.8876 0.0000
0.0000 0.0000 3.7392
Re P Os
1 1 2
Cartesian
0.0000 0.0000 0.0000
1.9438 1.9438 0.0000
0.0000 1.9438 1.8696
1.9438 0.0000 1.8696

HfBe3W (PBE-GGA, optimized geometry); SG = Pm-3m, No. 221; relative energy among the computed polymorphs = 0 meV/atom; calculated volume = 15.076 Å³ per atom; electronic total energy = -0.4415 Ry/atom; magnetic moment = 0.000 μB/atom; energy of formation = 4.05 eV/f.u.
1.0
4.2242 0.0000 0.0000
0.0000 4.2242 0.0000
0.0000 0.0000 4.2242
Hf Be W
1 3 1
Cartesian
0.0000 0.0000 0.0000
0.0000 2.1121 2.1121
2.1121 0.0000 2.1121
2.1121 2.1121 0.0000
2.1121 2.1121 2.1121

Pr3Dy8Sc2 (PBE-GGA, optimized geometry); SG = Cmmm, No. 65; calculated volume = 32.849 Å³ per atom; electronic total energy = -0.3427 Ry/atom; magnetic moment = 0.000 μB/atom; energy of formation = 3.21 eV/f.u.
1.0
3.8854 -9.7977 0.0000
3.8854 9.7977 0.0000
0.0000 0.0000 5.6090
Pr Dy Sc
3 8 2
Cartesian
0.0000 0.0000 0.0000
2.2859 0.0000 2.8045
5.4848 0.0000 2.8045
3.8854 7.1110 2.8045
2.2673 2.2434 0.0000
3.8854 3.5095 2.8045
2.2673 -2.2434 0.0000
5.5035 2.2434 0.0000
3.8854 -3.5095 2.8045
5.5035 -2.2434 0.0000
3.8854 -7.1110 2.8045
3.8854 5.0852 0.0000
3.8854 -5.0852 0.0000

SrPmHgAu (PBE-GGA, optimized geometry); SG = P4mm, No. 99; relative energy among the computed polymorphs = 0 meV/atom; calculated volume = 28.264 Å³ per atom; electronic total energy = -0.2306 Ry/atom; magnetic moment = 0.000 μB/atom; energy of formation = -2.54 eV/f.u.
1.0
3.8182 0.0000 0.0000
0.0000 3.8182 0.0000
0.0000 0.0000 7.7549
Sr Pm Hg Au
1 1 1 1
Cartesian
0.0000 0.0000 0.0000
0.0000 0.0000 3.6875
1.9091 1.9091 5.5874
1.9091 1.9091 2.1228

LaS2F (PBE-GGA, optimized geometry); SG = Fm-3m, No. 225; relative energy among the computed polymorphs = 363 meV/atom; calculated volume = 19.871 Å³ per atom; electronic total energy = -0.3729 Ry/atom; magnetic moment = 0.472 μB/atom; formation energy from raw total energies = -1.310 eV/atom
1.0
0.0000 3.4126 3.4126
3.4126 0.0000 3.4126
3.4126 3.4126 0.0000
La S F
1 2 1
Cartesian
0.0000 0.0000 0.0000
1.7063 1.7063 1.7063
5.1189 5.1189 5.1189
3.4126 3.4126 3.4126

Zr2Fe5Co5 (PBE-GGA, optimized geometry); SG = Pmmm, No. 47; calculated volume = 13.339 Å³ per atom; electronic total energy = -0.5905 Ry/atom; magnetic moment = 1.445 μB/atom; energy of formation = -1.47 eV/f.u.
1.0
3.9350 0.0000 0.0000
0.0000 4.8562 0.0000
0.0000 0.0000 8.3765
Zr Fe Co
2 5 5
Cartesian
0.0000 0.0000 0.0000
0.0000 2.4281 4.1882
0.0000 0.0000 2.7921
0.0000 0.0000 5.5843
0.0000 2.4281 1.3966
0.0000 2.4281 6.9799
1.9675 0.0000 4.1882
1.9675 1.2118 2.0840
1.9675 1.2118 6.2924
1.9675 2.4281 0.0000
1.9675 3.6444 2.0840
1.9675 3.6444 6.2924

HoInSi2Pt5 (PBE-GGA, optimized geometry); SG = P4/mmm, No. 123; calculated volume = 20.368 Å³ per atom; electronic total energy = -0.4493 Ry/atom; magnetic moment = 0.000 μB/atom; formation energy from raw total energies = -0.739 eV/atom
1.0
3.9769 0.0000 0.0000
0.0000 3.9769 0.0000
0.0000 0.0000 11.5905
Ho In Si Pt
1 1 2 5
Cartesian
0.0000 0.0000 0.0000
0.0000 0.0000 5.7953
1.9885 1.9885 3.4345
1.9885 1.9885 8.1560
0.0000 1.9885 2.1311
0.0000 1.9885 9.4594
1.9885 0.0000 2.1311
1.9885 0.0000 9.4594
1.9885 1.9885 5.7953